Here is a relaxed MnBe2Al crystal from the Alexandria database. Energies are from PBEsol.

a = 4.557 Å, b = 4.557 Å, c = 2.413 Å
α = 101.43°, β = 101.43°, γ = 117.04°
Positions (direct):
Mn 0.000 0.000 0.000
Be 0.000 0.500 0.500
Be 0.500 0.000 0.500
Al 0.500 0.500 0.000

Summary:
* final energy: -5.377 eV per atom
* crystal system: monoclinic
* calculated formation energy: 0.087 eV/atom
* space-group type: C2/m (12)
* size of the total moment: 0.00 μB per formula unit